one) Density functional theory data (PBE-GGA) for a relaxed structure of KBi3Pb.

Unit cell a=5.9123 b=5.9123 c=5.9123 alpha=90.00 beta=90.00 gamma=90.00
Space group Pm-3m (No. 221)
Symmetry-distinct sites (fractional):
K 0.0000 0.0000 0.0000 [1 per cell]
Bi 0.0000 0.0000 0.5000 [3 per cell]
Pb 0.5000 0.5000 0.5000 [1 per cell]



two) Density functional theory data (PBE-GGA) for a relaxed structure of KBi3Pb.

Unit cell a=6.0608 b=6.0608 c=6.0608 alpha=90.00 beta=90.00 gamma=90.00
Space group Pm-3m (No. 221)
Symmetry-distinct sites (fractional):
K 0.0000 0.0000 0.0000 [1 per cell]
Bi 0.0000 0.5000 0.5000 [3 per cell]
Pb 0.5000 0.5000 0.5000 [1 per cell]



three) Density functional theory data (PBE-GGA) for a relaxed structure of KBi3Pb.

Unit cell a=7.0484 b=7.3321 c=7.4954 alpha=90.00 beta=90.06 gamma=90.00
Space group P2_1 (No. 4)
Symmetry-distinct sites (fractional):
K 0.2504 0.0000 0.2401 [2 per cell]
Bi 0.0206 0.5185 0.2225 [2 per cell]
Bi 0.2496 0.3158 0.5976 [2 per cell]
Bi 0.4796 0.5184 0.2226 [2 per cell]
Pb 0.2498 0.6495 0.8726 [2 per cell]



The relative energies come out as one) 1039; two) 458; three) 0, with values in meV/atom.